No. 1
GGA-PBE LiSmIn, optimized geometry; formation enthalpy at 0 K = -0.31 eV per atom; calculated density = 5.84 Mg/m³; SG = No. 11; crystal system = monoclinic; N(E_F) = 2.2 states/eV/f.u.
1.0
3.866 0.000 0.000
0.000 4.871 0.000
-0.361 0.000 8.223
Li Sm In
2 2 2
direct
0.247 0.250 0.481 Li
0.753 0.750 0.519 Li
0.271 0.750 0.858 Sm
0.729 0.250 0.142 Sm
0.229 0.750 0.259 In
0.771 0.250 0.741 In

=====

No. 2
GGA-PBE Ac4SmSe5, optimized geometry; calculated density = 7.93 Mg/m³; SG = No. 139; formation energy (no corrections) = -42.21 kcal/mol of atoms; crystal system = tetragonal; N(E_F) = 5.6 states/eV/f.u.
1.0
-2.208 2.208 15.609
2.208 -2.208 15.609
2.208 2.208 -15.609
Ac Sm Se
4 1 5
direct
0.099 0.099 0.000 Ac
0.302 0.302 0.000 Ac
0.698 0.698 0.000 Ac
0.901 0.901 0.000 Ac
0.500 0.500 0.000 Sm
0.000 0.000 0.000 Se
0.201 0.201 0.000 Se
0.404 0.404 0.000 Se
0.596 0.596 0.000 Se
0.799 0.799 0.000 Se

=====

No. 3
GGA-PBE LiHoLuIr, optimized geometry; formation enthalpy at 0 K = -0.63 eV per atom; calculated density = 11.10 Mg/m³; SG = No. 216; crystal system = cubic; N(E_F) = 2.5 states/eV/f.u.
1.0
6.858 0.000 0.000
0.000 6.858 0.000
0.000 0.000 6.858
Li Ho Lu Ir
4 4 4 4
direct
0.000 0.000 0.000 Li
0.000 0.500 0.500 Li
0.500 0.000 0.500 Li
0.500 0.500 0.000 Li
0.250 0.250 0.750 Ho
0.250 0.750 0.250 Ho
0.750 0.250 0.250 Ho
0.750 0.750 0.750 Ho
0.250 0.250 0.250 Lu
0.250 0.750 0.750 Lu
0.750 0.250 0.750 Lu
0.750 0.750 0.250 Lu
0.000 0.000 0.500 Ir
0.000 0.500 0.000 Ir
0.500 0.000 0.000 Ir
0.500 0.500 0.500 Ir

=====

No. 4
GGA-PBE FeAsPC, optimized geometry; formation enthalpy at 0 K = 0.37 eV per atom; calculated density = 5.54 Mg/m³; SG = No. 6; crystal system = monoclinic; offset from the most stable computed form = 186 meV/atom; N(E_F) = 3.0 states/eV/f.u.
1.0
3.389 0.000 0.000
0.000 2.906 0.000
-1.366 0.000 5.285
Fe As P C
1 1 1 1
direct
0.000 0.000 0.000 Fe
0.692 0.500 0.258 As
0.151 0.500 0.693 P
0.447 0.000 0.785 C

=====

No. 5
GGA-PBE Tm3HgB, optimized geometry; formation enthalpy at 0 K = -0.19 eV per atom; calculated density = 9.83 Mg/m³; SG = No. 221; crystal system = cubic; N(E_F) = 6.2 states/eV/f.u.
1.0
4.951 0.000 0.000
0.000 4.951 0.000
0.000 0.000 4.951
Tm Hg B
3 1 1
direct
0.000 0.000 0.500 Tm
0.000 0.500 0.000 Tm
0.500 0.000 0.000 Tm
0.500 0.500 0.500 Hg
0.000 0.000 0.000 B

=====

No. 6
GGA-PBE Sm4B2Cl5, optimized geometry; calculated density = 4.72 Mg/m³; SG = No. 71; formation energy (no corrections) = -34.04 kcal/mol of atoms; crystal system = orthorhombic; offset from the most stable computed form = 8 meV/atom; N(E_F) = 3.1 states/eV/f.u.
1.0
-1.965 3.882 9.218
1.965 -3.882 9.218
1.965 3.882 -9.218
Sm B Cl
4 2 5
direct
0.170 0.170 0.000 Sm
0.213 0.500 0.713 Sm
0.787 0.500 0.287 Sm
0.830 0.830 0.000 Sm
0.043 0.043 0.000 B
0.957 0.957 0.000 B
0.089 0.331 0.758 Cl
0.426 0.669 0.758 Cl
0.500 0.000 0.500 Cl
0.574 0.331 0.242 Cl
0.911 0.669 0.242 Cl

=====

No. 7
GGA-PBE HfBe2Au, optimized geometry; formation enthalpy at 0 K = -0.09 eV per atom; calculated density = 11.84 Mg/m³; SG = No. 225; crystal system = cubic; offset from the most stable computed form = 0 meV/atom; N(E_F) = 3.7 states/eV/f.u.
1.0
6.043 0.000 0.000
0.000 6.043 0.000
0.000 0.000 6.043
Hf Be Au
4 8 4
direct
0.000 0.000 0.000 Hf
0.000 0.500 0.500 Hf
0.500 0.000 0.500 Hf
0.500 0.500 0.000 Hf
0.250 0.250 0.250 Be
0.250 0.250 0.750 Be
0.250 0.750 0.250 Be
0.250 0.750 0.750 Be
0.750 0.250 0.250 Be
0.750 0.250 0.750 Be
0.750 0.750 0.250 Be
0.750 0.750 0.750 Be
0.000 0.000 0.500 Au
0.000 0.500 0.000 Au
0.500 0.000 0.000 Au
0.500 0.500 0.500 Au

=====

No. 8
GGA-PBE Sr2ZrSn3Pt4, optimized geometry; formation enthalpy at 0 K = -0.82 eV per atom; calculated density = 9.86 Mg/m³; SG = No. 115; crystal system = tetragonal; N(E_F) = 6.3 states/eV/f.u.
1.0
4.622 0.000 0.000
0.000 4.622 0.000
0.000 0.000 11.065
Sr Zr Sn Pt
2 1 3 4
direct
0.000 0.500 0.236 Sr
0.500 0.000 0.764 Sr
0.000 0.000 0.500 Zr
0.000 0.500 0.875 Sn
0.500 0.000 0.125 Sn
0.500 0.500 0.500 Sn
0.000 0.000 0.000 Pt
0.000 0.500 0.635 Pt
0.500 0.000 0.365 Pt
0.500 0.500 0.000 Pt